# 1
# PmAgS2O8, optimized geometry, DFT GGA-PBE
# * SG: C2/m (12)
# * uncorrected energy: -0.468 Ry/atom
# * uncorrected formation energy: -20.90 eV/f.u.
data_PmAgS2O8
_cell_length_a 5.3709
_cell_length_b 5.3709
_cell_length_c 8.0492
_cell_angle_alpha 97.82
_cell_angle_beta 97.82
_cell_angle_gamma 64.37
_space_group_name_H-M_alt 'P 1'
_space_group_IT_number 1
loop_
_space_group_symop_operation_xyz
'x,y,z'
loop_
_atom_site_label
_atom_site_type_symbol
_atom_site_fract_x
_atom_site_fract_y
_atom_site_fract_z
Pm1 Pm 0.0000 0.0000 0.0000
Ag1 Ag 0.0000 0.0000 0.5000
S1 S 0.3244 0.3244 0.7689
S2 S 0.6756 0.6756 0.2311
O1 O 0.2096 0.6336 0.7964
O2 O 0.2233 0.2233 0.8983
O3 O 0.2406 0.2406 0.5973
O4 O 0.3664 0.7904 0.2036
O5 O 0.6336 0.2096 0.7964
O6 O 0.7594 0.7594 0.4027
O7 O 0.7767 0.7767 0.1017
O8 O 0.7904 0.3664 0.2036

***

# 2
# TaMnCd, optimized geometry, DFT GGA-PBE
# * polymorph energy (0 for the lowest one): 539 meV/atom
# * SG: F-43m (216)
# * uncorrected energy: -0.480 Ry/atom
# * DFT formation energy: 0.78 eV per atom
data_TaMnCd
_cell_length_a 6.1223
_cell_length_b 6.1223
_cell_length_c 6.1223
_cell_angle_alpha 90.00
_cell_angle_beta 90.00
_cell_angle_gamma 90.00
_space_group_name_H-M_alt 'P 1'
_space_group_IT_number 1
loop_
_space_group_symop_operation_xyz
'x,y,z'
loop_
_atom_site_label
_atom_site_type_symbol
_atom_site_fract_x
_atom_site_fract_y
_atom_site_fract_z
Ta1 Ta 0.0000 0.0000 0.0000
Ta2 Ta 0.0000 0.5000 0.5000
Ta3 Ta 0.5000 0.0000 0.5000
Ta4 Ta 0.5000 0.5000 0.0000
Mn1 Mn 0.2500 0.2500 0.2500
Mn2 Mn 0.2500 0.7500 0.7500
Mn3 Mn 0.7500 0.2500 0.7500
Mn4 Mn 0.7500 0.7500 0.2500
Cd1 Cd 0.0000 0.0000 0.5000
Cd2 Cd 0.0000 0.5000 0.0000
Cd3 Cd 0.5000 0.0000 0.0000
Cd4 Cd 0.5000 0.5000 0.5000